A plane-wave DFT calculation with GGA-PBE was carried out for a relaxed structure of Tb4ZnSi2.

```
7
Lattice="-1.1039 -3.1660 3.5355 -3.2201 -3.5602 -0.8359 4.9369 -7.3952 -1.7232" Properties=species:S:1:pos:R:3 pbc="T T T"
Zn 0.0000 0.0000 0.0000
Tb 0.9587 -4.1811 -0.0871
Si 3.1403 -5.9437 -0.9843
Tb -0.3459 -9.9403 1.0636
Si -2.5275 -8.1777 1.9608
Tb 2.6331 -8.9404 -0.4686
Tb -2.0202 -5.1810 1.4451
```

Output
- space group = R-3m, No. 166
- V (Å³ per atom) = 25.3
- raw total energy (eV per cell) = -33.28